{"formula": "ScNi2Pt", "functional": "SCAN", "state": "single point on PBEsol structure", "e_form_ev_per_atom": 0.05, "spacegroup": "R-3m, No. 166", "lattice_angstrom": [[2.7641, 0.0000, 0.0000], [1.3820, 2.3938, 0.0000], [1.3820, 0.7979, 8.3406]], "species": ["Pt", "Ni", "Sc", "Ni"], "frac_coords": [[0.5000, 0.5000, 0.5000], [0.7486, 0.7486, 0.7541], [0.0000, 0.0000, 0.0000], [0.2514, 0.2514, 0.2459]]}